Entry 1:
## Be3Mo (GGA-PBE)

Data for a geometry-optimized Be3Mo structure.

Summary:
- Energy of formation: -0.0679 eV/atom
- Energy above the lowest structure with this stoichiometry: 0.164 eV per atom

a b c (Å): 7.4813 7.4813 7.4813
angles (deg): 153.69 153.69 37.55
Closest atoms and distances in Å follow each position.
Positions (direct):
Be1 0.2500 0.7500 0.5000  8 Be 2.31-2.41, 4 Mo 2.53
Be2 0.5000 0.0000 0.5000  4 Mo 2.38, 8 Be 2.41-2.62
Be3 0.0000 0.5000 0.5000  4 Mo 2.38, 8 Be 2.41-2.62
Be4 0.7500 0.2500 0.5000  8 Be 2.31-2.41, 4 Mo 2.53
Be5 0.8597 0.8597 0.0000  4 Be 2.31, 4 Mo 2.43
Be6 0.1403 0.1403 0.0000  4 Be 2.31, 4 Mo 2.43
Mo1 0.6178 0.6178 0.0000  12 Be 2.38-2.53
Mo2 0.3822 0.3822 0.0000  12 Be 2.38-2.53



Entry 2:
## Ba2Na6Tl9 (GGA-PBE)

Data for a geometry-optimized Ba2Na6Tl9 structure.

Summary:
- Energy of formation: -0.0722 eV/atom

a b c (Å): 6.5390 6.5390 16.1988
angles (deg): 90.00 90.00 120.00
Closest atoms and distances in Å follow each position.
Positions (direct):
Tl1 0.0000 0.5000 0.5000  4 Na 3.25, 4 Tl 3.27
Tl2 0.5000 0.0000 0.1725  4 Na 3.26-3.37, 4 Tl 3.27
Tl3 0.5000 0.0000 0.8275  4 Na 3.26-3.37, 4 Tl 3.27
Tl4 0.0000 0.5000 0.1725  4 Na 3.26-3.37, 4 Tl 3.27
Tl5 0.5000 0.5000 0.5000  4 Na 3.25, 4 Tl 3.27
Tl6 0.5000 0.0000 0.5000  4 Na 3.25, 4 Tl 3.27
Tl7 0.0000 0.5000 0.8275  4 Na 3.26-3.37, 4 Tl 3.27
Tl8 0.5000 0.5000 0.1725  4 Na 3.26-3.37, 4 Tl 3.27
Tl9 0.5000 0.5000 0.8275  4 Na 3.26-3.37, 4 Tl 3.27
Na1 0.3333 0.6667 0.0000  6 Tl 3.37, 3 Na 3.78
Na2 0.3333 0.6667 0.6636  6 Tl 3.25-3.26
Na3 0.6667 0.3333 0.6636  6 Tl 3.25-3.26
Na4 0.6667 0.3333 0.3364  6 Tl 3.25-3.26
Na5 0.3333 0.6667 0.3364  6 Tl 3.25-3.26
Na6 0.6667 0.3333 0.0000  6 Tl 3.37, 3 Na 3.78
Ba1 0.0000 0.0000 0.3241  6 Na 3.78, 6 Tl 4.09
Ba2 0.0000 0.0000 0.6759  6 Na 3.78, 6 Tl 4.09



Entry 3:
## Rb2ErI5 (GGA-PBE)

Data for a geometry-optimized Rb2ErI5 structure.

Summary:
- Formation energy from raw total energies: -1389 meV per atom
- Energy above the lowest structure with this stoichiometry: 0.039 eV per atom

a b c (Å): 9.0123 9.0125 8.2955
angles (deg): 122.89 122.90 90.01
Closest atoms and distances in Å follow each position.
Positions (direct):
I1 0.2537 0.2537 0.0478  1 Er 2.97
I2 0.7105 0.7105 0.4213  1 Er 2.80
I3 0.2537 0.7943 0.0479  1 Er 2.97
I4 0.7943 0.7943 0.0481  1 Er 2.97
I5 0.7943 0.2537 0.0479  1 Er 2.97
Rb1 0.7479 0.2480 0.4959  8 I 3.98-4.34
Rb2 0.2480 0.7479 0.4959  8 I 3.98-4.34
Er1 0.9746 0.9746 0.9492  5 I 2.80-2.97



Entry 4:
## FeAs2Os (GGA-PBE)

Data for a geometry-optimized FeAs2Os structure.

Summary:
- Energy of formation: 0.1406 eV/atom
- Energy above the lowest structure with this stoichiometry: 0.031 eV per atom

a b c (Å): 4.3347 4.3347 4.9548
angles (deg): 76.31 76.31 42.06
Closest atoms and distances in Å follow each position.
Positions (direct):
Os1 0.2544 0.2544 0.2234  5 As 2.49-2.51
Fe1 0.4801 0.4801 0.6408  5 As 2.29-2.49
As1 0.7674 0.7674 0.6108  3 Fe 2.29-2.35, 2 Os 2.49
As2 0.9981 0.9981 0.0250  2 Fe 2.49, 3 Os 2.51



Entry 5:
## Al2SiHg (GGA-PBE)

Data for a geometry-optimized Al2SiHg structure.

Summary:
- Formation energy from raw total energies: 349 meV per atom
- Energy above the lowest structure with this stoichiometry: 0.175 eV per atom

a b c (Å): 3.1057 5.0890 4.7538
angles (deg): 90.00 90.00 90.00
Closest atoms and distances in Å follow each position.
Positions (direct):
Al1 0.0000 0.0000 0.0000  4 Hg 2.84, 6 Al 2.98-3.11
Al2 0.5000 0.5000 0.0000  4 Si 2.84, 6 Al 2.98-3.11
Hg1 0.5000 0.0000 0.5000  4 Al 2.84, 4 Si 2.98, 2 Hg 3.11
Si1 0.0000 0.5000 0.5000  4 Al 2.84, 4 Hg 2.98, 2 Si 3.11



Entry 6:
## YHf2Al2 (GGA-PBE)

Data for a geometry-optimized YHf2Al2 structure.

Summary:
- Energy of formation: 0.1909 eV/atom
- Energy above the lowest structure with this stoichiometry: 0.464 eV per atom

a b c (Å): 4.3070 4.3070 7.0369
angles (deg): 72.18 72.18 90.00
Closest atoms and distances in Å follow each position.
Positions (direct):
Y1 0.0000 0.0000 0.0000  8 Hf 3.35
Hf1 0.3897 0.3897 0.2206  4 Al 2.79, 1 Hf 2.80
Hf2 0.6103 0.6103 0.7794  4 Al 2.79, 1 Hf 2.80
Al1 0.7500 0.2500 0.5000  4 Hf 2.79, 4 Al 3.05
Al2 0.2500 0.7500 0.5000  4 Hf 2.79, 4 Al 3.05



Number 1: total DFT energy (no corrections) -5.57 eV/atom. Number 2: total DFT energy (no corrections) -2.02 eV/atom. Number 3: total DFT energy (no corrections) -3.17 eV/atom. Number 4: total DFT energy (no corrections) -7.11 eV/atom. Number 5: total DFT energy (no corrections) -2.95 eV/atom. Number 6: total DFT energy (no corrections) -6.58 eV/atom.